1.
Computed, not measured: crystalline Er2Nb2SiGe at its relaxed geometry at the PBE level of DFT.

Lattice parameters (Å, degrees): 4.002 4.002 7.749 90.00 90.00 90.00
Site moments in Bohr magnetons follow the coordinates.
Fractional positions:
1 Si 0.500 0.500 0.243  -0.01
2 Er 0.000 0.000 0.352  0.32
3 Er 0.500 0.500 0.646  0.32
4 Nb 0.000 0.500 0.003  0.07
5 Nb 0.500 0.000 0.003  0.07
6 Ge 0.000 0.000 0.753  -0.01

* crystal system: tetragonal
* total DFT energy (no corrections): -43.21 eV per cell
* M_tot: 1.1 μB/cell



2.
Computed, not measured: crystalline TbErNb2Ge2 at its relaxed geometry at the PBE level of DFT.

Lattice parameters (Å, degrees): 4.029 4.029 7.840 90.00 90.00 90.00
Site moments in Bohr magnetons follow the coordinates.
Fractional positions:
1 Er 0.500 0.500 0.352  0.33
2 Tb 0.000 0.000 0.647  0.31
3 Ge 0.500 0.500 0.753  -0.01
4 Ge 0.000 0.000 0.247  -0.01
5 Nb 0.000 0.500 0.000  0.07
6 Nb 0.500 0.000 0.000  0.07

* crystal system: tetragonal
* total DFT energy (no corrections): -42.47 eV per cell
* M_tot: 1.1 μB/cell



3.
Computed, not measured: crystalline YErNb2Ge2 at its relaxed geometry at the PBE level of DFT.

Lattice parameters (Å, degrees): 4.025 4.025 7.821 90.00 90.00 90.00
Site moments in Bohr magnetons follow the coordinates.
Fractional positions:
1 Nb 0.500 0.000 0.001  0.07
2 Nb 0.000 0.500 0.001  0.07
3 Er 0.000 0.000 0.351  0.33
4 Ge 0.000 0.000 0.753  -0.01
5 Ge 0.500 0.500 0.248  -0.01
6 Y 0.500 0.500 0.646  0.24

* crystal system: tetragonal
* total DFT energy (no corrections): -44.37 eV per cell
* M_tot: 1.1 μB/cell



4.
Computed, not measured: crystalline NdEr2Ni4Ge4 at its relaxed geometry at the PBE level of DFT.

Lattice parameters (Å, degrees): 7.852 7.852 7.852 149.90 128.59 60.73
Fractional positions:
1 Ni 0.983 0.179 0.803
2 Ni 0.376 0.179 0.197
3 Ni 0.017 0.821 0.197
4 Ni 0.624 0.821 0.803
5 Er 0.629 0.629 0.000
6 Er 0.371 0.371 0.000
7 Ge 0.311 0.000 0.311
8 Ge 0.780 0.280 0.500
9 Ge 0.689 0.000 0.689
10 Ge 0.220 0.720 0.500
11 Nd 0.000 0.500 0.500

* crystal system: orthorhombic
* total DFT energy (no corrections): -62.71 eV per cell
* M_tot: 0.0 μB/cell



- Look up the total DFT energy (no corrections) of the first one.
  -43.21 eV per cell